(1)
A geometry-optimized RbRe2Mo structure, computed with PBE.

abc: 5.095 5.095 17.144
angles: 90.00 90.00 90.00
Space group I4_1/amd (No. 141, origin choice 2)
Unique sites:
Rb 0.000 0.250 0.375
Re 0.000 0.000 0.000
Mo 0.000 0.250 0.875

Computed properties:
total DFT energy (no corrections) = -7.26 eV per atom
density of states at the Fermi level = 1.283 states/eV per atom
energy relative to the lowest polymorph listed for this composition = 0 meV per atom
magnetic moment = 0.0 μB per formula unit
formation enthalpy at 0 K = 44.20 kcal/mol of atoms

=====

(2)
A geometry-optimized RbRe2Mo structure, computed with PBE.

abc: 6.570 6.570 6.570
angles: 90.00 90.00 90.00
Space group Fm-3m (No. 225)
Unique sites:
Rb 0.000 0.000 0.000
Re 0.250 0.250 0.250
Mo 0.000 0.000 0.500

Computed properties:
total DFT energy (no corrections) = -7.22 eV per atom
density of states at the Fermi level = 1.231 states/eV per atom
energy relative to the lowest polymorph listed for this composition = 41 meV per atom
magnetic moment = 0.0 μB per formula unit
formation enthalpy at 0 K = 45.15 kcal/mol of atoms